DFT (GGA-PBE) results for a relaxed Pr3Tl3Hg crystal.

Summary:
- Energy relative to the elements: -352 meV per atom

```
data_Pr3Tl3Hg
_chemical_formula_sum 'Pr12 Tl12 Hg4'
_cell_length_a 11.8571
_cell_length_b 4.8110
_cell_length_c 15.8236
_cell_angle_alpha 90.00
_cell_angle_beta 108.88
_cell_angle_gamma 90.00
_symmetry_space_group_name_H-M 'C 1 2/m 1'
_symmetry_Int_Tables_number 12
loop_
_symmetry_equiv_pos_as_xyz
'x,y,z'
'-x,-y,-z'
'-x,y,-z'
'x,-y,z'
'x+1/2,y+1/2,z'
'-x+1/2,-y+1/2,-z'
'-x+1/2,y+1/2,-z'
'x+1/2,-y+1/2,z'
loop_
_atom_site_label
_atom_site_type_symbol
_atom_site_fract_x
_atom_site_fract_y
_atom_site_fract_z
Pr1 Pr 0.0301 0.0000 0.3791
Pr2 Pr 0.1030 0.0000 0.9252
Pr3 Pr 0.2312 0.0000 0.2240
Tl1 Tl 0.0061 0.5000 0.2264
Tl2 Tl 0.1213 0.5000 0.0756
Tl3 Tl 0.1392 0.5000 0.5337
Hg1 Hg 0.2429 0.5000 0.3713
```



DFT (GGA-PBE) results for a relaxed Pr5Sm2Mg2 crystal.

Summary:
- Energy relative to the elements: 129 meV per atom

```
data_Pr5Sm2Mg2
_chemical_formula_sum 'Pr20 Sm8 Mg8'
_cell_length_a 16.3497
_cell_length_b 10.8068
_cell_length_c 6.8072
_cell_angle_alpha 90.00
_cell_angle_beta 90.00
_cell_angle_gamma 90.00
_symmetry_space_group_name_H-M 'I m a 2'
_symmetry_Int_Tables_number 46
loop_
_symmetry_equiv_pos_as_xyz
'x,y,z'
'-x,-y,z'
'-x+1/2,y,z'
'x+1/2,-y,z'
'x+1/2,y+1/2,z+1/2'
'-x+1/2,-y+1/2,z+1/2'
'-x,y+1/2,z+1/2'
'x,-y+1/2,z+1/2'
loop_
_atom_site_label
_atom_site_type_symbol
_atom_site_fract_x
_atom_site_fract_y
_atom_site_fract_z
Pr1 Pr 0.0626 0.2350 0.0000
Pr2 Pr 0.1498 0.6945 0.3695
Pr3 Pr 0.2500 0.1154 0.0203
Sm1 Sm 0.0000 0.0000 0.6916
Sm2 Sm 0.2500 0.0190 0.5277
Mg1 Mg 0.0853 0.5294 0.7464
```



DFT (GGA-PBE) results for a relaxed TbSi2Ir4 crystal.

Summary:
- Offset from the most stable computed form: 0.000 eV/atom
- E_form (uncorrected): -795 meV/atom

```
data_TbSi2Ir4
_chemical_formula_sum 'Tb2 Si4 Ir8'
_cell_length_a 7.6228
_cell_length_b 7.6228
_cell_length_c 3.8454
_cell_angle_alpha 90.00
_cell_angle_beta 90.00
_cell_angle_gamma 90.00
_symmetry_space_group_name_H-M 'P 42/m n m'
_symmetry_Int_Tables_number 136
_symmetry_space_group_name_Hall '-P 4n 2n'
loop_
_atom_site_label
_atom_site_type_symbol
_atom_site_fract_x
_atom_site_fract_y
_atom_site_fract_z
Tb1 Tb 0.0000 0.0000 0.0000
Si1 Si 0.2284 0.2284 0.5000
Ir1 Ir 0.0739 0.6675 0.5000
```